[1]
# CrAgAu2 (GGA-PBE, optimized geometry)
data_CrAgAu2
_chemical_formula_sum 'Cr1 Ag1 Au2'
_cell_length_a 2.968
_cell_length_b 2.968
_cell_length_c 7.952
_cell_angle_alpha 90.00
_cell_angle_beta 90.00
_cell_angle_gamma 90.00
_space_group_name_H-M_alt 'P 4 m m'
_space_group_IT_number 99
_space_group_name_Hall 'P 4 -2'
loop_
_atom_site_label
_atom_site_type_symbol
_atom_site_fract_x
_atom_site_fract_y
_atom_site_fract_z
Cr1 Cr 0.000 0.000 0.000
Ag1 Ag 0.500 0.500 0.245
Au1 Au 0.000 0.000 0.505
Au2 Au 0.500 0.500 0.772
# Energy of formation, eV/atom: 0.1914
# Spin magnetization, μB per formula unit: 3.92
# Total energy, eV per atom: -4.566

=====

[2]
# BaNa3Li2 (GGA-PBE, optimized geometry)
data_BaNa3Li2
_chemical_formula_sum 'Ba2 Na6 Li4'
_cell_length_a 5.6254
_cell_length_b 5.6254
_cell_length_c 16.4167
_cell_angle_alpha 90.00
_cell_angle_beta 90.00
_cell_angle_gamma 120.00
_space_group_name_H-M_alt 'P 63/m m c'
_space_group_IT_number 194
_space_group_name_Hall '-P 6c 2c'
loop_
_atom_site_label
_atom_site_type_symbol
_atom_site_fract_x
_atom_site_fract_y
_atom_site_fract_z
Ba1 Ba 0.0000 0.0000 0.2500
Na1 Na 0.0000 0.0000 0.0000
Na2 Na 0.3333 0.6667 0.0869
Li1 Li 0.3333 0.6667 0.6211
# Energy of formation, eV/atom: 0.0711
# Spin magnetization, μB per formula unit: 0.00
# Excess energy over the best structure of this formula in the dataset, meV per atom: 24
# Total energy, eV per atom: -1.547

=====

[3]
# Na2LiAgCl4 (GGA-PBE, optimized geometry)
data_Na2LiAgCl4
_chemical_formula_sum 'Na8 Li4 Ag4 Cl16'
_cell_length_a 11.100
_cell_length_b 11.080
_cell_length_c 7.828
_cell_angle_alpha 90.00
_cell_angle_beta 134.51
_cell_angle_gamma 90.00
_space_group_name_H-M_alt 'C 1 2/c 1'
_space_group_IT_number 15
_space_group_name_Hall '-C 2yc'
loop_
_atom_site_label
_atom_site_type_symbol
_atom_site_fract_x
_atom_site_fract_y
_atom_site_fract_z
Na1 Na 0.000 0.000 0.000
Na2 Na 0.250 0.250 0.000
Li1 Li 0.000 0.500 0.000
Ag1 Ag 0.250 0.250 0.500
Cl1 Cl 0.002 0.259 0.502
Cl2 Cl 0.236 0.500 0.487
# Spin magnetization, μB per formula unit: 0.00
# E_form (uncorrected), eV/atom: -1.442
# Total energy, eV per atom: -3.291

=====

[4]
# LiCaCdSn (GGA-PBE, optimized geometry)
data_LiCaCdSn
_chemical_formula_sum 'Li4 Ca4 Cd4 Sn4'
_cell_length_a 7.282
_cell_length_b 7.282
_cell_length_c 7.282
_cell_angle_alpha 90.00
_cell_angle_beta 90.00
_cell_angle_gamma 90.00
_space_group_name_H-M_alt 'F -4 3 m'
_space_group_IT_number 216
_space_group_name_Hall 'F -4 2 3'
loop_
_atom_site_label
_atom_site_type_symbol
_atom_site_fract_x
_atom_site_fract_y
_atom_site_fract_z
Li1 Li 0.000 0.000 0.000
Ca1 Ca 0.000 0.000 0.500
Cd1 Cd 0.250 0.250 0.250
Sn1 Sn 0.250 0.250 0.750
# Energy of formation, eV/atom: -0.3956
# Spin magnetization, μB per formula unit: 0.00
# Total energy, eV per atom: -2.604

=====

[5]
# ZnCSe2 (GGA-PBE, optimized geometry)
data_ZnCSe2
_chemical_formula_sum 'Zn4 C4 Se8'
_cell_length_a 5.241
_cell_length_b 5.241
_cell_length_c 11.692
_cell_angle_alpha 90.00
_cell_angle_beta 90.00
_cell_angle_gamma 90.00
_space_group_name_H-M_alt 'I -4 2 d'
_space_group_IT_number 122
_space_group_name_Hall 'I -4 2bw'
loop_
_atom_site_label
_atom_site_type_symbol
_atom_site_fract_x
_atom_site_fract_y
_atom_site_fract_z
Zn1 Zn 0.000 0.000 0.000
C1 C 0.000 0.000 0.500
Se1 Se 0.199 0.250 0.625
# Spin magnetization, μB per formula unit: 0.00
# E_form (uncorrected), eV/atom: 0.750
# Excess energy over the best structure of this formula in the dataset, meV per atom: 50
# Total energy, eV per atom: -3.617

=====

[6]
# TbThTc (GGA-PBE, optimized geometry)
data_TbThTc
_chemical_formula_sum 'Tb6 Th6 Tc6'
_cell_length_a 4.6545
_cell_length_b 4.6545
_cell_length_c 25.6703
_cell_angle_alpha 90.00
_cell_angle_beta 90.00
_cell_angle_gamma 120.00
_space_group_name_H-M_alt 'R -3 m'
_space_group_IT_number 166
_space_group_name_Hall '-R 3 2"'
loop_
_atom_site_label
_atom_site_type_symbol
_atom_site_fract_x
_atom_site_fract_y
_atom_site_fract_z
Tb1 Tb 0.0000 0.0000 0.1315
Th1 Th 0.0000 0.0000 0.2874
Tc1 Tc 0.0000 0.0000 0.4137
# Energy of formation, eV/atom: 0.0498
# Spin magnetization, μB per formula unit: 0.00
# Excess energy over the best structure of this formula in the dataset, meV per atom: 152
# Total energy, eV per atom: -7.422